Below is an optimized crystal structure of GaSbCl2, with properties calculated at the PBE level.

Cell: 5.143 5.143 5.143 Å, 60.00 60.00 60.00°
Fractional coordinates of all 4 atoms:
1 Ga 0.000 0.000 0.000
2 Sb 0.500 0.500 0.500
3 Cl 0.250 0.250 0.250
4 Cl 0.750 0.750 0.750

Offset from the most stable computed form   401.2 meV per atom
ΔE_f (raw)   -49 meV per atom

Below is an optimized crystal structure of GaSbCl2, with properties calculated at the PBE level.

Cell: 7.480 7.480 7.480 Å, 120.90 120.90 88.45°
Fractional coordinates of all 8 atoms:
1 Ga 0.000 0.000 0.000
2 Ga 0.750 0.250 0.500
3 Sb 0.250 0.750 0.500
4 Sb 0.500 0.500 0.000
5 Cl 0.375 0.220 0.345
6 Cl 0.780 0.125 0.155
7 Cl 0.875 0.030 0.655
8 Cl 0.970 0.625 0.845

Offset from the most stable computed form   571.3 meV per atom
ΔE_f (raw)   121 meV per atom

Below is an optimized crystal structure of GaSb3Cl, with properties calculated at the PBE level.

Cell: 5.353 5.353 5.353 Å, 90.00 90.00 90.00°
Fractional coordinates of all 5 atoms:
1 Ga 0.000 0.000 0.000
2 Sb 0.000 0.000 0.500
3 Sb 0.000 0.500 0.000
4 Sb 0.500 0.000 0.000
5 Cl 0.500 0.500 0.500

Offset from the most stable computed form   0.0 meV per atom
ΔE_f (raw)   476 meV per atom

Below is an optimized crystal structure of GaTcSb2Cl, with properties calculated at the PBE level.

Cell: 5.247 5.247 4.970 Å, 90.00 90.00 90.00°
Fractional coordinates of all 5 atoms:
1 Ga 0.000 0.000 0.000
2 Tc 0.500 0.500 0.000
3 Sb 0.000 0.500 0.500
4 Sb 0.500 0.000 0.500
5 Cl 0.000 0.000 0.500

ΔE_f (raw)   1172 meV per atom

Below is an optimized crystal structure of Ga7Sb7Te8Cl26, with properties calculated at the PBE level.

Cell: 11.293 16.539 19.629 Å, 68.34 83.64 89.26°
Fractional coordinates of all 96 atoms:
1 Ga 0.077 0.186 0.037
2 Ga 0.155 0.817 0.414
3 Ga 0.272 0.647 0.893
4 Ga 0.299 0.983 0.626
5 Ga 0.310 0.485 0.657
6 Ga 0.320 0.155 0.725
7 Ga 0.423 0.175 0.044
8 Ga 0.577 0.825 0.956
9 Ga 0.680 0.845 0.275
10 Ga 0.690 0.515 0.343
11 Ga 0.701 0.017 0.374
12 Ga 0.728 0.353 0.107
13 Ga 0.845 0.183 0.586
14 Ga 0.923 0.814 0.963
15 Sb 0.010 0.660 0.284
16 Sb 0.027 0.245 0.254
17 Sb 0.167 0.223 0.443
18 Sb 0.213 0.457 0.266
19 Sb 0.242 0.699 0.097
20 Sb 0.372 0.670 0.292
21 Sb 0.390 0.239 0.259
22 Sb 0.610 0.761 0.741
23 Sb 0.628 0.330 0.708
24 Sb 0.758 0.301 0.903
25 Sb 0.787 0.543 0.734
26 Sb 0.833 0.777 0.557
27 Sb 0.973 0.755 0.746
28 Sb 0.990 0.340 0.716
29 Te 0.002 0.342 0.354
30 Te 0.039 0.581 0.174
31 Te 0.176 0.546 0.376
32 Te 0.188 0.122 0.349
33 Te 0.203 0.788 0.201
34 Te 0.227 0.346 0.163
35 Te 0.380 0.325 0.365
36 Te 0.422 0.596 0.180
37 Te 0.578 0.404 0.820
38 Te 0.620 0.675 0.635
39 Te 0.773 0.654 0.837
40 Te 0.797 0.212 0.799
41 Te 0.812 0.878 0.651
42 Te 0.824 0.454 0.624
43 Te 0.961 0.419 0.826
44 Te 0.998 0.658 0.646
45 Cl 0.003 0.265 0.585
46 Cl 0.045 0.855 0.023
47 Cl 0.051 0.116 0.156
48 Cl 0.088 0.326 0.005
49 Cl 0.106 0.982 0.647
50 Cl 0.107 0.870 0.501
51 Cl 0.119 0.607 0.848
52 Cl 0.140 0.137 0.781
53 Cl 0.167 0.478 0.589
54 Cl 0.192 0.923 0.307
55 Cl 0.257 0.566 0.013
56 Cl 0.259 0.141 0.995
57 Cl 0.273 0.784 0.874
58 Cl 0.277 0.373 0.762
59 Cl 0.306 0.609 0.672
60 Cl 0.308 0.731 0.435
61 Cl 0.343 0.252 0.615
62 Cl 0.368 0.080 0.519
63 Cl 0.373 0.855 0.645
64 Cl 0.375 0.020 0.717
65 Cl 0.391 0.106 0.163
66 Cl 0.431 0.873 0.012
67 Cl 0.434 0.315 0.012
68 Cl 0.439 0.609 0.841
69 Cl 0.454 0.163 0.796
70 Cl 0.489 0.474 0.601
71 Cl 0.511 0.526 0.399
72 Cl 0.546 0.837 0.204
73 Cl 0.561 0.391 0.159
74 Cl 0.566 0.685 0.988
75 Cl 0.569 0.127 0.988
76 Cl 0.609 0.894 0.837
77 Cl 0.625 0.980 0.283
78 Cl 0.627 0.145 0.355
79 Cl 0.632 0.920 0.481
80 Cl 0.657 0.748 0.385
81 Cl 0.692 0.269 0.565
82 Cl 0.694 0.391 0.328
83 Cl 0.723 0.627 0.238
84 Cl 0.727 0.216 0.126
85 Cl 0.741 0.859 0.005
86 Cl 0.743 0.434 0.987
87 Cl 0.808 0.077 0.693
88 Cl 0.833 0.522 0.411
89 Cl 0.860 0.863 0.219
90 Cl 0.881 0.393 0.152
91 Cl 0.893 0.130 0.499
92 Cl 0.894 0.018 0.353
93 Cl 0.912 0.674 0.995
94 Cl 0.949 0.884 0.844
95 Cl 0.955 0.145 0.977
96 Cl 0.997 0.735 0.415

ΔE_f (raw)   -821 meV per atom

Below is an optimized crystal structure of GaSbTeCl2, with properties calculated at the PBE level.

Cell: 5.309 5.309 5.998 Å, 90.00 90.00 90.00°
Fractional coordinates of all 5 atoms:
1 Ga 0.000 0.000 0.000
2 Sb 0.500 0.500 0.000
3 Te 0.500 0.500 0.500
4 Cl 0.000 0.500 0.500
5 Cl 0.500 0.000 0.500

ΔE_f (raw)   87 meV per atom

Below is an optimized crystal structure of Sc2GaCl, with properties calculated at the PBE level.

Cell: 4.834 4.834 4.834 Å, 60.00 60.00 60.00°
Fractional coordinates of all 4 atoms:
1 Sc 0.250 0.250 0.250
2 Sc 0.750 0.750 0.750
3 Ga 0.000 0.000 0.000
4 Cl 0.500 0.500 0.500

Offset from the most stable computed form   0.0 meV per atom
ΔE_f (raw)   -566 meV per atom

Below is an optimized crystal structure of Sc2GaCl, with properties calculated at the PBE level.

Cell: 9.898 9.898 9.898 Å, 18.80 18.80 18.80°
Fractional coordinates of all 4 atoms:
1 Sc 0.096 0.096 0.096
2 Sc 0.904 0.904 0.904
3 Ga 0.000 0.000 0.000
4 Cl 0.500 0.500 0.500

Offset from the most stable computed form   160.2 meV per atom
ΔE_f (raw)   -406 meV per atom

Below is an optimized crystal structure of ScGaCl2, with properties calculated at the PBE level.

Cell: 4.895 4.895 4.895 Å, 60.00 60.00 60.00°
Fractional coordinates of all 4 atoms:
1 Sc 0.000 0.000 0.000
2 Ga 0.500 0.500 0.500
3 Cl 0.250 0.250 0.250
4 Cl 0.750 0.750 0.750

Offset from the most stable computed form   34.6 meV per atom
ΔE_f (raw)   -701 meV per atom

Below is an optimized crystal structure of Sc2GaCl, with properties calculated at the PBE level.

Cell: 7.809 7.809 7.809 Å, 137.91 137.91 61.05°
Fractional coordinates of all 8 atoms:
1 Sc 0.123 0.625 0.998
2 Sc 0.375 0.373 0.498
3 Sc 0.627 0.125 0.002
4 Sc 0.875 0.877 0.502
5 Ga 0.250 0.750 0.500
6 Ga 0.500 0.500 0.000
7 Cl 0.000 0.000 0.000
8 Cl 0.750 0.250 0.500

Offset from the most stable computed form   158.7 meV per atom
ΔE_f (raw)   -408 meV per atom

Below is an optimized crystal structure of ScGa3Cl6, with properties calculated at the PBE level.

Cell: 6.904 7.915 12.102 Å, 90.00 121.82 90.00°
Fractional coordinates of all 20 atoms:
1 Sc 0.000 0.000 0.000
2 Sc 0.000 0.500 0.500
3 Ga 0.304 0.077 0.783
4 Ga 0.304 0.423 0.283
5 Ga 0.500 0.000 0.500
6 Ga 0.500 0.500 0.000
7 Ga 0.696 0.577 0.717
8 Ga 0.696 0.923 0.217
9 Cl 0.101 0.066 0.227
10 Cl 0.101 0.434 0.727
11 Cl 0.243 0.739 0.080
12 Cl 0.243 0.761 0.580
13 Cl 0.341 0.163 0.035
14 Cl 0.341 0.337 0.535
15 Cl 0.659 0.663 0.465
16 Cl 0.659 0.837 0.965
17 Cl 0.757 0.239 0.420
18 Cl 0.757 0.261 0.920
19 Cl 0.899 0.566 0.273
20 Cl 0.899 0.934 0.773

ΔE_f (raw)   -1268 meV per atom

Below is an optimized crystal structure of ScGa2Cl5, with properties calculated at the PBE level.

Cell: 9.031 9.031 9.607 Å, 121.88 121.88 46.59°
Fractional coordinates of all 16 atoms:
1 Sc 0.000 0.000 0.000
2 Sc 0.000 0.000 0.500
3 Ga 0.321 0.394 0.999
4 Ga 0.394 0.321 0.499
5 Ga 0.605 0.678 0.500
6 Ga 0.678 0.605 0.000
7 Cl 0.061 0.283 0.139
8 Cl 0.136 0.864 0.750
9 Cl 0.250 0.633 0.357
10 Cl 0.283 0.061 0.639
11 Cl 0.367 0.749 0.143
12 Cl 0.633 0.250 0.857
13 Cl 0.716 0.940 0.360
14 Cl 0.749 0.367 0.643
15 Cl 0.864 0.136 0.250
16 Cl 0.940 0.716 0.860

ΔE_f (raw)   -1402 meV per atom

Below is an optimized crystal structure of ScGaCl4, with properties calculated at the PBE level.

Cell: 7.537 7.537 7.537 Å, 118.02 118.02 29.40°
Fractional coordinates of all 6 atoms:
1 Sc 0.000 0.000 0.000
2 Ga 0.500 0.500 0.500
3 Cl 0.108 0.108 0.834
4 Cl 0.390 0.390 0.766
5 Cl 0.610 0.610 0.234
6 Cl 0.892 0.892 0.166

Offset from the most stable computed form   8.4 meV per atom
ΔE_f (raw)   -1618 meV per atom

Below is an optimized crystal structure of ScGaCl6, with properties calculated at the PBE level.

Cell: 6.991 6.991 6.095 Å, 97.68 97.68 128.30°
Fractional coordinates of all 8 atoms:
1 Sc 0.000 0.000 0.000
2 Ga 0.500 0.500 0.500
3 Cl 0.132 0.398 0.265
4 Cl 0.250 0.250 0.750
5 Cl 0.398 0.132 0.265
6 Cl 0.602 0.868 0.735
7 Cl 0.750 0.750 0.250
8 Cl 0.868 0.602 0.735

ΔE_f (raw)   -1496 meV per atom

Below is an optimized crystal structure of ScGaCl2, with properties calculated at the PBE level.

Cell: 8.123 8.123 8.123 Å, 135.70 135.70 64.44°
Fractional coordinates of all 8 atoms:
1 Sc 0.000 0.000 0.000
2 Sc 0.750 0.250 0.500
3 Ga 0.250 0.750 0.500
4 Ga 0.500 0.500 0.000
5 Cl 0.012 0.625 0.887
6 Cl 0.375 0.262 0.387
7 Cl 0.738 0.125 0.113
8 Cl 0.875 0.988 0.613

Offset from the most stable computed form   0.0 meV per atom
ΔE_f (raw)   -736 meV per atom

Below is an optimized crystal structure of Sc2Ga2Cl, with properties calculated at the PBE level.

Cell: 6.917 6.917 4.251 Å, 90.00 90.00 90.00°
Fractional coordinates of all 10 atoms:
1 Sc 0.167 0.333 0.000
2 Sc 0.333 0.833 0.000
3 Sc 0.667 0.167 0.000
4 Sc 0.833 0.667 0.000
5 Ga 0.131 0.631 0.500
6 Ga 0.369 0.131 0.500
7 Ga 0.631 0.869 0.500
8 Ga 0.869 0.369 0.500
9 Cl 0.000 0.000 0.000
10 Cl 0.500 0.500 0.000

ΔE_f (raw)   -764 meV per atom

Below is an optimized crystal structure of Sc3GaCl, with properties calculated at the PBE level.

Cell: 4.732 4.732 4.732 Å, 90.00 90.00 90.00°
Fractional coordinates of all 5 atoms:
1 Sc 0.000 0.000 0.500
2 Sc 0.000 0.500 0.000
3 Sc 0.500 0.000 0.000
4 Ga 0.500 0.500 0.500
5 Cl 0.000 0.000 0.000

Offset from the most stable computed form   0.0 meV per atom
ΔE_f (raw)   -435 meV per atom

Below is an optimized crystal structure of ScGaCl4, with properties calculated at the PBE level.

Cell: 8.476 8.476 6.297 Å, 106.46 106.46 114.74°
Fractional coordinates of all 12 atoms:
1 Sc 0.077 0.923 0.750
2 Sc 0.923 0.077 0.250
3 Ga 0.326 0.674 0.250
4 Ga 0.674 0.326 0.750
5 Cl 0.044 0.643 0.820
6 Cl 0.146 0.239 0.708
7 Cl 0.239 0.146 0.208
8 Cl 0.357 0.956 0.680
9 Cl 0.643 0.044 0.320
10 Cl 0.761 0.854 0.792
11 Cl 0.854 0.761 0.292
12 Cl 0.956 0.357 0.180

Offset from the most stable computed form   0.0 meV per atom
ΔE_f (raw)   -1626 meV per atom

Below is an optimized crystal structure of ScGaSi2Cl, with properties calculated at the PBE level.

Cell: 4.600 4.600 5.508 Å, 90.00 90.00 90.00°
Fractional coordinates of all 5 atoms:
1 Sc 0.000 0.000 0.000
2 Ga 0.000 0.000 0.500
3 Si 0.000 0.500 0.500
4 Si 0.500 0.000 0.500
5 Cl 0.500 0.500 0.000

ΔE_f (raw)   384 meV per atom

Below is an optimized crystal structure of Sr2ScGaCl, with properties calculated at the PBE level.

Cell: 6.535 6.535 4.947 Å, 90.00 90.00 90.00°
Fractional coordinates of all 5 atoms:
1 Sr 0.000 0.500 0.000
2 Sr 0.500 0.000 0.000
3 Sc 0.000 0.000 0.000
4 Ga 0.000 0.000 0.500
5 Cl 0.500 0.500 0.500

ΔE_f (raw)   42 meV per atom